First-principles (GGA-PBEsol) data for crystalline LiB6H21N5 at its relaxed geometry, as listed in Alexandria via LeMat-Bulk.

Cell and atoms, written as POSCAR:
```
LiB6H21N5
1.0
9.0345 0.0000 0.0000
0.0000 8.0903 0.0000
-5.9152 0.0000 14.8771
Li B H N
4 24 84 20
direct
0.0427 0.1021 0.1432
0.0427 0.3979 0.6432
0.9573 0.6021 0.3568
0.9573 0.8979 0.8568
0.3243 0.0973 0.4719
0.3243 0.4027 0.9719
0.3445 0.5880 0.9183
0.3445 0.9120 0.4183
0.3618 0.5913 0.0324
0.3618 0.9087 0.5324
0.4330 0.0976 0.3996
0.4330 0.4024 0.8996
0.4614 0.0925 0.5843
0.4614 0.4075 0.0843
0.4948 0.7095 0.9978
0.4948 0.7905 0.4978
0.5052 0.2095 0.5022
0.5052 0.2905 0.0022
0.5386 0.5925 0.9157
0.5386 0.9075 0.4157
0.5670 0.5976 0.1004
0.5670 0.9024 0.6004
0.6382 0.0913 0.4676
0.6382 0.4087 0.9676
0.6555 0.0880 0.5817
0.6555 0.4120 0.0817
0.6757 0.5973 0.0281
0.6757 0.9027 0.5281
0.0043 0.7317 0.7328
0.0043 0.7683 0.2328
0.0324 0.6150 0.9293
0.0324 0.8850 0.4293
0.0799 0.0978 0.3176
0.0799 0.4022 0.8176
0.1147 0.5995 0.2479
0.1147 0.9005 0.7479
0.1354 0.1546 0.5565
0.1354 0.3454 0.0565
0.1408 0.0888 0.6539
0.1408 0.4112 0.1539
0.1407 0.5074 0.5187
0.1407 0.9926 0.0187
0.1960 0.1649 0.4509
0.1960 0.3351 0.9509
0.2037 0.0988 0.9518
0.2037 0.4012 0.4518
0.2320 0.6510 0.8599
0.2320 0.8490 0.3599
0.2369 0.6727 0.6514
0.2369 0.8273 0.1514
0.2457 0.5984 0.4679
0.2457 0.9016 0.9679
0.2614 0.6549 0.0553
0.2614 0.8451 0.5553
0.2769 0.5651 0.7445
0.2769 0.9349 0.2445
0.3367 0.0007 0.1657
0.3367 0.4993 0.6657
0.3718 0.0806 0.8113
0.3718 0.4194 0.3113
0.3842 0.1666 0.3274
0.3842 0.3334 0.8274
0.3922 0.6237 0.3203
0.3922 0.8763 0.8203
0.3955 0.5271 0.2288
0.3955 0.9729 0.7288
0.4337 0.1601 0.6444
0.4337 0.3399 0.1444
0.4921 0.6414 0.4960
0.4921 0.8586 0.9960
0.5079 0.1414 0.0040
0.5079 0.3586 0.5040
0.5663 0.6601 0.8556
0.5663 0.8399 0.3556
0.6045 0.0271 0.2712
0.6045 0.4729 0.7712
0.6078 0.1237 0.1797
0.6078 0.3763 0.6797
0.6158 0.6666 0.1726
0.6158 0.8334 0.6726
0.6282 0.5806 0.6887
0.6282 0.9194 0.1887
0.6633 0.5007 0.3343
0.6633 0.9993 0.8343
0.7231 0.0651 0.7555
0.7231 0.4349 0.2555
0.7386 0.1549 0.4447
0.7386 0.3451 0.9447
0.7543 0.0984 0.0321
0.7543 0.4016 0.5321
0.7631 0.1727 0.8486
0.7631 0.3273 0.3486
0.7680 0.1510 0.6401
0.7680 0.3490 0.1401
0.7963 0.5988 0.5482
0.7963 0.9012 0.0482
0.8040 0.6649 0.0491
0.8040 0.8351 0.5491
0.8593 0.0074 0.9813
0.8593 0.4926 0.4813
0.8592 0.5888 0.8461
0.8592 0.9112 0.3461
0.8646 0.6546 0.9435
0.8646 0.8454 0.4435
0.8853 0.0995 0.2521
0.8853 0.4005 0.7521
0.9201 0.5978 0.1824
0.9201 0.9022 0.6824
0.9676 0.1150 0.5707
0.9676 0.3850 0.0707
0.9957 0.2317 0.7672
0.9957 0.2683 0.2672
0.0024 0.6428 0.2413
0.0024 0.8572 0.7413
0.0789 0.1658 0.6015
0.0789 0.3342 0.1015
0.1558 0.5136 0.4582
0.1558 0.9864 0.9582
0.2423 0.5545 0.6758
0.2423 0.9455 0.1758
0.3435 0.5286 0.2761
0.3435 0.9714 0.7761
0.6565 0.0286 0.2239
0.6565 0.4714 0.7239
0.7577 0.0545 0.8242
0.7577 0.4455 0.3242
0.8442 0.0136 0.0418
0.8442 0.4864 0.5418
0.9211 0.6658 0.8985
0.9211 0.8342 0.3985
0.9976 0.1428 0.2587
0.9976 0.3572 0.7587
```

Output
final energy = -5.110 eV per atom
mass density = 1.00 g/cm3